Record 1
Entry from Alexandria via LeMat-Bulk: crystalline KS2I2 at its relaxed geometry (PBE-GGA).

Calculated values
Its space-group type is P4/mbm. The value obtained for the electronic total energy is -28.10 eV/cell. The value obtained for the total magnetization is 1.00 μB/f.u. The mass density comes out at 3.08 g/cm3.

Lattice parameters (Å, degrees): 9.0093 9.0093 4.7437 90.00 90.00 90.00
With the nearest neighbours (Å) after each atom.
Atoms (fractional coordinates):
1 K 0.0000 0.0000 0.0000  4 S 3.90, 8 I 3.97
2 K 0.5000 0.5000 0.0000  4 S 3.90, 8 I 3.97
3 S 0.0739 0.4261 0.0000  1 S 1.88
4 S 0.4261 0.9261 0.0000  1 S 1.88
5 S 0.5739 0.0739 0.0000  1 S 1.88
6 S 0.9261 0.5739 0.0000  1 S 1.88
7 I 0.2421 0.2579 0.5000  2 S 3.20
8 I 0.2579 0.7579 0.5000  2 S 3.20
9 I 0.7421 0.2421 0.5000  2 S 3.20
10 I 0.7579 0.7421 0.5000  2 S 3.20

Record 2
Entry from Alexandria via LeMat-Bulk: crystalline Y2CoMo at its relaxed geometry (PBE-GGA).

Calculated values
Its space-group type is P4mm. The value obtained for the electronic total energy is -30.18 eV/cell. The value obtained for the total magnetization is 0.00 μB/f.u. As for the formation enthalpy at 0 K: 171 meV per atom. The mass density comes out at 6.45 g/cm3.

Lattice parameters (Å, degrees): 3.1739 3.1739 8.5008 90.00 90.00 90.00
With the nearest neighbours (Å) after each atom.
Atoms (fractional coordinates):
1 Y 0.0000 0.0000 0.0000  4 Mo 3.12, 4 Y 3.17, 1 Co 3.31
2 Y 0.5000 0.5000 0.3726  4 Co 3.02, 1 Mo 3.16, 4 Y 3.17
3 Co 0.0000 0.0000 0.6106  4 Mo 2.52
4 Mo 0.5000 0.5000 0.7446  4 Co 2.52

Record 3
Entry from Alexandria via LeMat-Bulk: crystalline Pm2Dy3ErBi6 at its relaxed geometry (PBE-GGA).

Calculated values
Its space-group type is C2/m. The value obtained for the electronic total energy is -61.66 eV/cell. The value obtained for the total magnetization is 0.00 μB/f.u. As for the formation enthalpy at 0 K: -876 meV per atom. The mass density comes out at 9.41 g/cm3.

Lattice parameters (Å, degrees): 10.0727 10.0727 9.0114 102.88 102.88 25.85
With the nearest neighbours (Å) after each atom.
Atoms (fractional coordinates):
1 Pm 0.1659 0.1659 0.3325  6 Bi 3.22-3.23
2 Pm 0.8341 0.8341 0.6675  6 Bi 3.22-3.23
3 Dy 0.1680 0.1680 0.8336  6 Bi 3.16-3.18
4 Dy 0.5000 0.5000 0.5000  6 Bi 3.16-3.20
5 Dy 0.8320 0.8320 0.1664  6 Bi 3.16-3.18
6 Er 0.5000 0.5000 0.0000  6 Bi 3.16-3.18
7 Bi 0.0023 0.0023 0.7527  3 Dy 3.17-3.20, 2 Er 3.18, 1 Pm 3.22
8 Bi 0.3345 0.3345 0.9224  3 Dy 3.16-3.18, 1 Er 3.16, 2 Pm 3.22
9 Bi 0.3347 0.3347 0.4131  3 Dy 3.16, 3 Pm 3.22-3.23
10 Bi 0.6653 0.6653 0.5869  3 Dy 3.16, 3 Pm 3.22-3.23
11 Bi 0.6655 0.6655 0.0776  3 Dy 3.16-3.18, 1 Er 3.16, 2 Pm 3.22
12 Bi 0.9977 0.9977 0.2473  3 Dy 3.17-3.20, 2 Er 3.18, 1 Pm 3.22

Record 4
Entry from Alexandria via LeMat-Bulk: crystalline LaSc2Fe at its relaxed geometry (PBE-GGA).

Calculated values
Its space-group type is Cmmm. The value obtained for the electronic total energy is -49.30 eV/cell. The value obtained for the total magnetization is 1.55 μB/f.u. As for the formation enthalpy at 0 K: 351 meV per atom. The mass density comes out at 5.22 g/cm3.

Lattice parameters (Å, degrees): 6.3966 7.6198 3.7170 90.00 90.00 90.00
With the nearest neighbours (Å) after each atom.
Atoms (fractional coordinates):
1 La 0.0000 0.0000 0.0000  8 Sc 3.10, 2 Fe 3.20
2 La 0.5000 0.5000 0.0000  8 Sc 3.10, 2 Fe 3.20
3 Sc 0.2500 0.2500 0.5000  4 La 3.10, 4 Fe 3.10, 2 Sc 3.20
4 Sc 0.2500 0.7500 0.5000  4 La 3.10, 4 Fe 3.10, 2 Sc 3.20
5 Sc 0.7500 0.2500 0.5000  4 La 3.10, 4 Fe 3.10, 2 Sc 3.20
6 Sc 0.7500 0.7500 0.5000  4 La 3.10, 4 Fe 3.10, 2 Sc 3.20
7 Fe 0.0000 0.5000 0.0000  8 Sc 3.10, 2 La 3.20
8 Fe 0.5000 0.0000 0.0000  8 Sc 3.10, 2 La 3.20

Record 5
Entry from Alexandria via LeMat-Bulk: crystalline AgTeRh2 at its relaxed geometry (PBE-GGA).

Calculated values
Its space-group type is I-4m2. The value obtained for the electronic total energy is -39.90 eV/cell. The value obtained for the total magnetization is 0.00 μB/f.u. The mass density comes out at 10.73 g/cm3.

Lattice parameters (Å, degrees): 3.9965 3.9965 8.5528 90.00 90.00 90.00
With the nearest neighbours (Å) after each atom.
Atoms (fractional coordinates):
1 Ag 0.0000 0.0000 0.0000  8 Rh 2.83-2.93, 4 Te 2.93
2 Ag 0.5000 0.5000 0.5000  8 Rh 2.83-2.93, 4 Te 2.93
3 Te 0.0000 0.5000 0.2500  8 Rh 2.83-2.93, 4 Ag 2.93
4 Te 0.5000 0.0000 0.7500  8 Rh 2.83-2.93, 4 Ag 2.93
5 Rh 0.0000 0.0000 0.5000  4 Ag 2.83, 4 Te 2.93, 4 Rh 2.93
6 Rh 0.0000 0.5000 0.7500  4 Te 2.83, 4 Rh 2.93, 4 Ag 2.93
7 Rh 0.5000 0.0000 0.2500  4 Te 2.83, 4 Rh 2.93, 4 Ag 2.93
8 Rh 0.5000 0.5000 0.0000  4 Ag 2.83, 4 Te 2.93, 4 Rh 2.93

Record 6
Entry from Alexandria via LeMat-Bulk: crystalline SrMnAs4 at its relaxed geometry (PBE-GGA).

Calculated values
Its space-group type is F-43m. The value obtained for the electronic total energy is -29.00 eV/cell. The value obtained for the total magnetization is 4.05 μB/f.u. As for the formation enthalpy at 0 K: 74 meV per atom. The mass density comes out at 5.51 g/cm3.

Lattice parameters (Å, degrees): 5.7339 5.7339 5.7339 60.00 60.00 60.00
With the nearest neighbours (Å) after each atom.
Atoms (fractional coordinates):
1 Sr 0.0000 0.0000 0.0000  12 As 3.37, 4 Mn 3.51
2 Mn 0.2500 0.2500 0.2500  12 As 3.36, 4 Sr 3.51
3 As 0.1323 0.6226 0.6226  6 As 2.81-2.92
4 As 0.6226 0.1323 0.6226  6 As 2.81-2.92
5 As 0.6226 0.6226 0.1323  6 As 2.81-2.92
6 As 0.6226 0.6226 0.6226  6 As 2.81-2.92

Record 7
Entry from Alexandria via LeMat-Bulk: crystalline Zr2Ti2Ag3 at its relaxed geometry (PBE-GGA).

Calculated values
Its space-group type is Cmmm. The value obtained for the electronic total energy is -82.37 eV/cell. The value obtained for the total magnetization is 0.00 μB/f.u. As for the formation enthalpy at 0 K: 37 meV per atom. The mass density comes out at 7.30 g/cm3.

Lattice parameters (Å, degrees): 2.9884 30.7313 2.9799 90.00 90.00 90.00
With the nearest neighbours (Å) after each atom.
Atoms (fractional coordinates):
1 Zr 0.0000 0.2009 0.0000  4 Ti 2.94, 4 Zr 2.98-2.99
2 Zr 0.0000 0.7991 0.0000  4 Ti 2.94, 4 Zr 2.98-2.99
3 Zr 0.5000 0.2991 0.0000  4 Ti 2.94, 4 Zr 2.98-2.99
4 Zr 0.5000 0.7009 0.0000  4 Ti 2.94, 4 Zr 2.98-2.99
5 Ti 0.0000 0.3658 0.5000  4 Zr 2.94, 4 Ag 2.95, 4 Ti 2.98-2.99
6 Ti 0.0000 0.6342 0.5000  4 Zr 2.94, 4 Ag 2.95, 4 Ti 2.98-2.99
7 Ti 0.5000 0.1342 0.5000  4 Zr 2.94, 4 Ag 2.95, 4 Ti 2.98-2.99
8 Ti 0.5000 0.8658 0.5000  4 Zr 2.94, 4 Ag 2.95, 4 Ti 2.98-2.99
9 Ag 0.0000 0.0673 0.0000  4 Ti 2.95, 8 Ag 2.95-2.99
10 Ag 0.0000 0.5000 0.5000  12 Ag 2.95-2.99
11 Ag 0.0000 0.9327 0.0000  4 Ti 2.95, 8 Ag 2.95-2.99
12 Ag 0.5000 0.0000 0.5000  12 Ag 2.95-2.99
13 Ag 0.5000 0.4327 0.0000  4 Ti 2.95, 8 Ag 2.95-2.99
14 Ag 0.5000 0.5673 0.0000  4 Ti 2.95, 8 Ag 2.95-2.99

Record 8
Entry from Alexandria via LeMat-Bulk: crystalline Sr3YO at its relaxed geometry (PBE-GGA).

Calculated values
Its space-group type is Pm-3m. The value obtained for the electronic total energy is -11.34 eV/cell. The value obtained for the total magnetization is 5.00 μB/f.u. The mass density comes out at 2.22 g/cm3.

Lattice parameters (Å, degrees): 6.5044 6.5044 6.5044 90.00 90.00 90.00
With the nearest neighbours (Å) after each atom.
Atoms (fractional coordinates):
1 Sr 0.0000 0.0000 0.5000  2 Y 3.25
2 Sr 0.0000 0.5000 0.0000  2 Y 3.25
3 Sr 0.5000 0.0000 0.0000  2 Y 3.25
4 Y 0.0000 0.0000 0.0000  6 Sr 3.25
5 O 0.5000 0.5000 0.5000  12 Sr 4.60

Record 9
Entry from Alexandria via LeMat-Bulk: crystalline Eu3Ga8 at its relaxed geometry (PBE-GGA).

Calculated values
Its space-group type is Immm. The value obtained for the electronic total energy is -60.57 eV/cell. The value obtained for the total magnetization is 21.19 μB/f.u. As for the formation enthalpy at 0 K: -503 meV per atom. The mass density comes out at 6.83 g/cm3.

Lattice parameters (Å, degrees): 13.2824 13.2824 13.2824 161.11 161.04 26.89
With the nearest neighbours (Å) after each atom.
Atoms (fractional coordinates):
1 Eu 0.0000 0.0000 0.0000  12 Ga 3.28-3.33
2 Eu 0.3519 0.8519 0.5000  14 Ga 3.29-3.43
3 Eu 0.6481 0.1481 0.5000  14 Ga 3.29-3.43
4 Ga 0.0950 0.5950 0.5000  3 Ga 2.49-2.51
5 Ga 0.1921 0.6921 0.5000  5 Ga 2.51-2.65
6 Ga 0.2502 0.2502 0.0000  4 Ga 2.65
7 Ga 0.4514 0.4514 0.0000  3 Ga 2.49-2.51
8 Ga 0.5486 0.5486 0.0000  3 Ga 2.49-2.51
9 Ga 0.7498 0.7498 0.0000  4 Ga 2.65
10 Ga 0.8079 0.3079 0.5000  5 Ga 2.51-2.65
11 Ga 0.9050 0.4050 0.5000  3 Ga 2.49-2.51

Record 10
Entry from Alexandria via LeMat-Bulk: crystalline Ca3VN3 at its relaxed geometry (PBE-GGA).

Calculated values
Its space-group type is Cmcm. The value obtained for the electronic total energy is -95.13 eV/cell. The value obtained for the total magnetization is 0.00 μB/f.u. The mass density comes out at 3.13 g/cm3.

Lattice parameters (Å, degrees): 6.7299 6.7299 5.0865 90.00 90.00 101.33
With the nearest neighbours (Å) after each atom.
Atoms (fractional coordinates):
1 Ca 0.1086 0.8914 0.7500  5 N 2.45-2.62
2 Ca 0.1720 0.4021 0.7500  4 N 2.45-2.55
3 Ca 0.4021 0.1720 0.2500  4 N 2.45-2.55
4 Ca 0.5979 0.8280 0.7500  4 N 2.45-2.55
5 Ca 0.8280 0.5979 0.2500  4 N 2.45-2.55
6 Ca 0.8914 0.1086 0.2500  5 N 2.45-2.62
7 V 0.3025 0.6975 0.2500  3 N 1.82-1.83
8 V 0.6975 0.3025 0.7500  3 N 1.82-1.83
9 N 0.1271 0.8729 0.2500  1 V 1.83
10 N 0.1833 0.4309 0.2500  1 V 1.82
11 N 0.4309 0.1833 0.7500  1 V 1.82
12 N 0.5691 0.8167 0.2500  1 V 1.82
13 N 0.8167 0.5691 0.7500  1 V 1.82
14 N 0.8729 0.1271 0.7500  1 V 1.83

Record 11
Entry from Alexandria via LeMat-Bulk: crystalline AcGdScAg at its relaxed geometry (PBE-GGA).

Calculated values
Its space-group type is F-43m. The value obtained for the electronic total energy is -106.55 eV/cell. The value obtained for the total magnetization is 9.18 μB/f.u. As for the formation enthalpy at 0 K: 184 meV per atom. The mass density comes out at 7.95 g/cm3.

Lattice parameters (Å, degrees): 7.6567 7.6567 7.6567 90.00 90.00 90.00
With the nearest neighbours (Å) after each atom.
Atoms (fractional coordinates):
1 Ac 0.0000 0.0000 0.0000  4 Gd 3.32, 4 Sc 3.32
2 Ac 0.0000 0.5000 0.5000  4 Gd 3.32, 4 Sc 3.32
3 Ac 0.5000 0.0000 0.5000  4 Gd 3.32, 4 Sc 3.32
4 Ac 0.5000 0.5000 0.0000  4 Gd 3.32, 4 Sc 3.32
5 Gd 0.2500 0.2500 0.2500  4 Ac 3.32, 4 Ag 3.32
6 Gd 0.2500 0.7500 0.7500  4 Ac 3.32, 4 Ag 3.32
7 Gd 0.7500 0.2500 0.7500  4 Ac 3.32, 4 Ag 3.32
8 Gd 0.7500 0.7500 0.2500  4 Ac 3.32, 4 Ag 3.32
9 Sc 0.2500 0.2500 0.7500  4 Ac 3.32, 4 Ag 3.32
10 Sc 0.2500 0.7500 0.2500  4 Ac 3.32, 4 Ag 3.32
11 Sc 0.7500 0.2500 0.2500  4 Ac 3.32, 4 Ag 3.32
12 Sc 0.7500 0.7500 0.7500  4 Ac 3.32, 4 Ag 3.32
13 Ag 0.0000 0.0000 0.5000  4 Sc 3.32, 4 Gd 3.32
14 Ag 0.0000 0.5000 0.0000  4 Sc 3.32, 4 Gd 3.32
15 Ag 0.5000 0.0000 0.0000  4 Sc 3.32, 4 Gd 3.32
16 Ag 0.5000 0.5000 0.5000  4 Sc 3.32, 4 Gd 3.32

Record 12
Entry from Alexandria via LeMat-Bulk: crystalline LaTlGa at its relaxed geometry (PBE-GGA).

Calculated values
Its space-group type is P3m1. The value obtained for the electronic total energy is -11.69 eV/cell. The value obtained for the total magnetization is 0.00 μB/f.u. As for the formation enthalpy at 0 K: -456 meV per atom. The mass density comes out at 8.27 g/cm3.

Lattice parameters (Å, degrees): 4.6659 4.6659 4.3991 90.00 90.00 120.00
With the nearest neighbours (Å) after each atom.
Atoms (fractional coordinates):
1 La 0.0000 0.0000 0.0000  3 Ga 3.19, 3 Tl 3.33
2 Tl 0.3333 0.6667 0.5552  3 Ga 2.79
3 Ga 0.6667 0.3333 0.3870  3 Tl 2.79

Record 13
Entry from Alexandria via LeMat-Bulk: crystalline LaReN2 at its relaxed geometry (PBE-GGA).

Calculated values
Its space-group type is I-42d. The value obtained for the electronic total energy is -143.63 eV/cell. The value obtained for the total magnetization is 0.00 μB/f.u. The mass density comes out at 8.97 g/cm3.

Lattice parameters (Å, degrees): 4.9569 4.9569 10.6446 90.00 90.00 90.00
With the nearest neighbours (Å) after each atom.
Atoms (fractional coordinates):
1 La 0.0000 0.0000 0.0000  4 N 2.54
2 La 0.0000 0.5000 0.2500  4 N 2.54
3 La 0.5000 0.0000 0.7500  4 N 2.54
4 La 0.5000 0.5000 0.5000  4 N 2.54
5 Re 0.0000 0.0000 0.5000  4 N 1.95
6 Re 0.0000 0.5000 0.7500  4 N 1.95
7 Re 0.5000 0.0000 0.2500  4 N 1.95
8 Re 0.5000 0.5000 0.0000  4 N 1.95
9 N 0.1435 0.2500 0.6250  2 Re 1.95
10 N 0.2500 0.6435 0.8750  2 Re 1.95
11 N 0.2500 0.8565 0.3750  2 Re 1.95
12 N 0.3565 0.2500 0.1250  2 Re 1.95
13 N 0.6435 0.7500 0.1250  2 Re 1.95
14 N 0.7500 0.1435 0.3750  2 Re 1.95
15 N 0.7500 0.3565 0.8750  2 Re 1.95
16 N 0.8565 0.7500 0.6250  2 Re 1.95

Record 14
Entry from Alexandria via LeMat-Bulk: crystalline GeICl2 at its relaxed geometry (PBE-GGA).

Calculated values
Its space-group type is I-42d. The value obtained for the electronic total energy is -43.12 eV/cell. The value obtained for the total magnetization is 0.84 μB/f.u. The mass density comes out at 2.49 g/cm3.

Lattice parameters (Å, degrees): 7.9666 7.9666 11.3617 90.00 90.00 90.00
With the nearest neighbours (Å) after each atom.
Atoms (fractional coordinates):
1 Ge 0.0000 0.0000 0.0000  4 Cl 2.45
2 Ge 0.0000 0.5000 0.2500  4 Cl 2.45
3 Ge 0.5000 0.0000 0.7500  4 Cl 2.45
4 Ge 0.5000 0.5000 0.5000  4 Cl 2.45
5 I 0.0000 0.0000 0.5000  12 Cl 4.50-4.85, 4 Ge 4.89, 4 I 4.89
6 I 0.0000 0.5000 0.7500  12 Cl 4.50-4.85, 4 Ge 4.89, 4 I 4.89
7 I 0.5000 0.0000 0.2500  12 Cl 4.50-4.85, 4 Ge 4.89, 4 I 4.89
8 I 0.5000 0.5000 0.0000  12 Cl 4.50-4.85, 4 Ge 4.89, 4 I 4.89
9 Cl 0.0261 0.2500 0.1250  2 Ge 2.45
10 Cl 0.2500 0.5261 0.3750  2 Ge 2.45
11 Cl 0.2500 0.9739 0.8750  2 Ge 2.45
12 Cl 0.4739 0.2500 0.6250  2 Ge 2.45
13 Cl 0.5261 0.7500 0.6250  2 Ge 2.45
14 Cl 0.7500 0.0261 0.8750  2 Ge 2.45
15 Cl 0.7500 0.4739 0.3750  2 Ge 2.45
16 Cl 0.9739 0.7500 0.1250  2 Ge 2.45

Record 15
Entry from Alexandria via LeMat-Bulk: crystalline TiSeBr2Cl at its relaxed geometry (PBE-GGA).

Calculated values
Its space-group type is P4/mmm. The value obtained for the electronic total energy is -18.97 eV/cell. The value obtained for the total magnetization is 0.00 μB/f.u. The mass density comes out at 4.20 g/cm3.

Lattice parameters (Å, degrees): 5.0140 5.0140 5.0626 90.00 90.00 90.00
With the nearest neighbours (Å) after each atom.
Atoms (fractional coordinates):
1 Ti 0.0000 0.0000 0.0000  4 Br 2.51, 2 Se 2.53
2 Se 0.0000 0.0000 0.5000  2 Ti 2.53
3 Br 0.0000 0.5000 0.0000  2 Ti 2.51
4 Br 0.5000 0.0000 0.0000  2 Ti 2.51
5 Cl 0.5000 0.5000 0.5000  4 Se 3.55, 8 Br 3.56